(w)
LiZr2Cl: relaxed, PBE.

theoretical density = 4930 kg/m³
SG = No. 123
Fermi-level density of states = 3.27 states/eV/cell

Cell lengths 3.194, 3.194, 7.424 Å; angles 90.00, 90.00, 90.00 degrees
Atoms (fractional coordinates):
Cl: 0.500 0.500 0.250
Li: 0.500 0.500 0.750
Zr: 0.000 0.000 0.521
Zr: 0.000 0.000 0.979

***

(x)
LiZr2Cl: relaxed, PBE.

theoretical density = 4286 kg/m³
SG = No. 216
Fermi-level density of states = 5.05 states/eV/cell

Cell lengths 4.976, 4.976, 4.976 Å; angles 60.00, 60.00, 60.00 degrees
Atoms (fractional coordinates):
Zr: 0.750 0.750 0.750
Zr: 0.000 0.000 0.000
Li: 0.250 0.250 0.250
Cl: 0.500 0.500 0.500

***

Tell me which of them is the least stable. Sure, it is (x).

***

(w)
B2C: relaxed, PBE.

theoretical density = 2822 kg/m³
SG = No. 1
Fermi-level density of states = 0.37 states/eV/cell

Cell lengths 3.500, 4.409, 5.437 Å; angles 107.88, 89.64, 83.06 degrees
Atoms (fractional coordinates):
B: 0.285 0.892 0.245
B: 0.019 0.071 0.014
B: 0.188 0.354 0.839
B: 0.026 0.096 0.527
B: 0.933 0.642 0.399
B: 0.569 0.322 0.571
B: 0.407 0.007 0.748
B: 0.567 0.297 0.081
C: 0.688 0.688 0.676
C: 0.655 0.656 0.154
C: 0.253 0.289 0.317
C: 0.911 0.685 0.929

***

(x)
B2C: relaxed, PBE.

theoretical density = 2774 kg/m³
SG = No. 160
Fermi-level density of states = 2.66 states/eV/cell

Cell lengths 2.747, 2.747, 18.479 Å; angles 90.00, 90.00, 120.00 degrees
Atoms (fractional coordinates):
C: 0.333 0.667 0.966
C: 0.000 0.000 0.753
C: 0.667 0.333 0.632
C: 0.000 0.000 0.299
C: 0.667 0.333 0.086
C: 0.333 0.667 0.419
B: 0.667 0.333 0.446
B: 0.333 0.667 0.883
B: 0.667 0.333 0.171
B: 0.333 0.667 0.504
B: 0.000 0.000 0.837
B: 0.667 0.333 0.995
B: 0.000 0.000 0.113
B: 0.667 0.333 0.549
B: 0.333 0.667 0.780
B: 0.333 0.667 0.329
B: 0.000 0.000 0.662
B: 0.000 0.000 0.216

***

Tell me which of them is the least stable. Sure, it is (w).

***

(w)
LiTlMo2: relaxed, PBE.

theoretical density = 9036 kg/m³
SG = No. 35
Fermi-level density of states = 2.63 states/eV/cell

Cell lengths 2.953, 2.953, 9.222 Å; angles 90.00, 90.00, 112.83 degrees
Atoms (fractional coordinates):
Mo: 0.500 0.500 0.220
Mo: 0.000 0.000 0.014
Tl: 0.000 0.000 0.503
Li: 0.500 0.500 0.763

***

(x)
LiTlMo2: relaxed, PBE.

theoretical density = 9966 kg/m³
SG = No. 216
Fermi-level density of states = 1.47 states/eV/cell

Cell lengths 4.563, 4.563, 4.563 Å; angles 60.00, 60.00, 60.00 degrees
Atoms (fractional coordinates):
Tl: 0.750 0.750 0.750
Li: 0.500 0.500 0.500
Mo: 0.000 0.000 0.000
Mo: 0.250 0.250 0.250

***

Tell me which of them is the least stable. Sure, it is (x).

***

(w)
PuThNi: relaxed, PBE.

theoretical density = 12986 kg/m³
SG = No. 107
Fermi-level density of states = 7.74 states/eV/cell

Cell lengths 3.536, 3.536, 6.013 Å; angles 107.10, 107.10, 90.00 degrees
Atoms (fractional coordinates):
Pu: 0.983 0.983 0.967
Th: 0.692 0.692 0.384
Ni: 0.325 0.325 0.649

***

(x)
PuThNi: relaxed, PBE.

theoretical density = 14419 kg/m³
SG = No. 11
Fermi-level density of states = 10.34 states/eV/cell

Cell lengths 5.669, 3.925, 6.535 Å; angles 90.00, 122.10, 90.00 degrees
Atoms (fractional coordinates):
Pu: 0.127 0.750 0.095
Pu: 0.873 0.250 0.905
Th: 0.725 0.250 0.259
Th: 0.275 0.750 0.741
Ni: 0.663 0.750 0.562
Ni: 0.337 0.250 0.438

***

Tell me which of them is the least stable. Sure, it is (w).

***

(w)
PbC: relaxed, PBE.

theoretical density = 9535 kg/m³
SG = No. 186
Fermi-level density of states = 0.24 states/eV/cell

Cell lengths 3.775, 3.775, 6.186 Å; angles 90.00, 90.00, 120.00 degrees
Atoms (fractional coordinates):
Pb: 0.667 0.333 0.229
Pb: 0.333 0.667 0.729
C: 0.333 0.667 0.353
C: 0.667 0.333 0.853

***

(x)
PbC: relaxed, PBE.

theoretical density = 8771 kg/m³
SG = No. 123
Fermi-level density of states = 3.71 states/eV/cell

Cell lengths 5.032, 5.032, 4.916 Å; angles 90.00, 90.00, 90.00 degrees
Atoms (fractional coordinates):
C: 0.500 0.500 0.000
C: 0.500 0.000 0.500
C: 0.000 0.500 0.500
Pb: 0.500 0.500 0.500
Pb: 0.000 0.500 0.000
Pb: 0.500 0.000 0.000

***

Tell me which of them is the least stable. Sure, it is (x).